First-principles (PBE with a Hubbard U) data for crystalline Mn3IrO at its relaxed geometry, as listed in Alexandria.

a = 4.9466 Å, b = 4.9466 Å, c = 4.9466 Å
α = 90.00°, β = 90.00°, γ = 90.00°
Last column: nearest neighbours and their distance in Å.
Atoms (fractional coordinates):
Ir: 0.0000 0.0000 0.0000  6 Mn 2.47
O: 0.5000 0.5000 0.5000  12 Mn 3.50
Mn: 0.0000 0.5000 0.0000  2 Ir 2.47
Mn: 0.0000 0.0000 0.5000  2 Ir 2.47
Mn: 0.5000 0.0000 0.0000  2 Ir 2.47

Output
Final energy   -31.45 eV for the cell shown
Energy above the most stable polymorph in this dataset   1230 meV per atom